VASP calculation (PBE-GGA) on an optimized crystal structure of Pm2CdCu2.

Lattice parameters (Å, degrees): 3.851 7.682 7.682 90.00 90.00 90.00
Positions (direct):
Pm (0.500, 0.826, 0.326)
Cu (0.000, 0.619, 0.119)
Cd (0.000, 0.500, 0.500)
Cu (0.000, 0.119, 0.381)
Cu (0.000, 0.381, 0.881)
Cu (0.000, 0.881, 0.619)
Pm (0.500, 0.174, 0.674)
Pm (0.500, 0.326, 0.174)
Pm (0.500, 0.674, 0.826)
Cd (0.000, 0.000, 0.000)

## Properties
- VASP energy: -3.99 eV/atom
- Crystal system: tetragonal
- Total moment: 0.00 Bohr magnetons per cell

***

VASP calculation (PBE-GGA) on an optimized crystal structure of CoSiMo4.

Lattice parameters (Å, degrees): 5.137 5.137 5.137 60.00 60.00 60.00
Last column: magnetic moment on the atom in μB.
Positions (direct):
Co (0.000, 0.000, 0.000)  1.17
Mo (0.625, 0.625, 0.625)  -0.01
Mo (0.625, 0.625, 0.125)  -0.01
Mo (0.625, 0.125, 0.625)  -0.01
Si (0.250, 0.250, 0.250)  0.01
Mo (0.125, 0.625, 0.625)  -0.01

## Properties
- E_form (uncorrected): 0.6322 eV per atom
- Crystal system: cubic
- Total moment: 1.08 Bohr magnetons per cell

***

VASP calculation (PBE-GGA) on an optimized crystal structure of Ba2Tl3Hg4.

Lattice parameters (Å, degrees): 5.516 5.641 10.524 85.96 89.99 60.73
Positions (direct):
Hg (0.658, 0.684, 0.900)
Tl (0.351, 0.298, 0.419)
Hg (0.342, 0.316, 0.100)
Tl (0.000, 0.000, 0.000)
Tl (0.649, 0.702, 0.581)
Ba (0.683, 0.634, 0.226)
Hg (0.977, 0.047, 0.643)
Ba (0.317, 0.366, 0.774)
Hg (0.023, 0.953, 0.357)

## Properties
- Crystal system: monoclinic
- Energy above the lowest structure with this stoichiometry: 0 meV/atom
- Total moment: 0.00 Bohr magnetons per cell